[1]
This record from the Alexandria database describes an optimized crystal structure of Mn2CoHW. The functional is PBE-GGA.

- space group = P4/mmm (123)
- E_tot (eV/atom) = -8.273

The structure in POSCAR format:
```
Mn2CoHW
1.0
3.634 0.000 0.000
0.000 3.634 0.000
0.000 0.000 3.842
Mn Co H W
2 1 1 1
Direct
0.000 0.500 0.000
0.500 0.000 0.000
0.000 0.000 0.500
0.500 0.500 0.000
0.500 0.500 0.500
```

***

[2]
This record from the Alexandria database describes an optimized crystal structure of Zr2V2GaCo5. The functional is PBE-GGA.

- space group = P4/mbm (127)
- E_tot (eV/atom) = -7.461
- formation energy from the elements (eV per atom) = -0.072

The structure in POSCAR format:
```
Zr2V2GaCo5
1.0
9.120 0.000 0.000
0.000 9.120 0.000
0.000 0.000 3.372
Zr V Ga Co
4 4 2 10
Direct
0.178 0.322 0.000
0.322 0.822 0.000
0.678 0.178 0.000
0.822 0.678 0.000
0.123 0.623 0.000
0.377 0.123 0.000
0.623 0.877 0.000
0.877 0.377 0.000
0.000 0.000 0.000
0.500 0.500 0.000
0.000 0.500 0.500
0.054 0.791 0.500
0.209 0.054 0.500
0.291 0.554 0.500
0.446 0.291 0.500
0.500 0.000 0.500
0.554 0.709 0.500
0.709 0.446 0.500
0.791 0.946 0.500
0.946 0.209 0.500
```

***

[3]
This record from the Alexandria database describes an optimized crystal structure of LaCdHRhAu. The functional is PBE-GGA.

- space group = Cm (8)
- E_tot (eV/atom) = -4.458

The structure in POSCAR format:
```
LaCdHRhAu
1.0
5.923 -1.972 0.000
5.923 1.972 0.000
-0.001 0.000 4.120
La Cd H Rh Au
1 1 1 1 1
Direct
0.000 0.000 0.000
0.259 0.259 0.499
0.434 0.434 0.507
0.574 0.574 0.499
0.735 0.735 0.999
```

***

[4]
This record from the Alexandria database describes an optimized crystal structure of Pm3PaN. The functional is PBE-GGA.

- space group = Pm-3m (221)
- formation energy from raw total energies (eV per atom) = -0.17
- E_tot (eV/atom) = -6.584

The structure in POSCAR format:
```
Pm3PaN
1.0
5.047 0.000 0.000
0.000 5.047 0.000
0.000 0.000 5.047
Pm Pa N
3 1 1
Direct
0.000 0.000 0.500
0.000 0.500 0.000
0.500 0.000 0.000
0.500 0.500 0.500
0.000 0.000 0.000
```

***

[5]
This record from the Alexandria database describes an optimized crystal structure of NpAsH2. The functional is PBE-GGA.

- space group = Pmmn (59)
- E_tot (eV/atom) = -6.339

The structure in POSCAR format:
```
NpAsH2
1.0
3.718 0.000 0.000
0.000 5.604 0.000
0.000 0.000 4.594
Np As H
2 2 4
Direct
0.250 0.250 0.159
0.750 0.750 0.841
0.250 0.750 0.354
0.750 0.250 0.646
0.250 0.552 0.872
0.250 0.948 0.872
0.750 0.052 0.128
0.750 0.448 0.128
```

***

[6]
This record from the Alexandria database describes an optimized crystal structure of ScOs4Br. The functional is PBE-GGA.

- space group = F-43m (216)
- formation energy from raw total energies (eV per atom) = 0.76
- E_tot (eV/atom) = -8.060

The structure in POSCAR format:
```
ScOs4Br
1.0
0.000 3.728 3.728
3.728 0.000 3.728
3.728 3.728 0.000
Sc Os Br
1 4 1
Direct
0.000 0.000 0.000
0.375 0.375 0.375
0.375 0.375 0.876
0.375 0.876 0.375
0.876 0.375 0.375
0.750 0.750 0.750
```

***

[7]
This record from the Alexandria database describes an optimized crystal structure of P2IrCS. The functional is PBE-GGA.

- space group = P4/mmm (123)
- formation energy from raw total energies (eV per atom) = 1.10
- E_tot (eV/atom) = -5.506

The structure in POSCAR format:
```
P2IrCS
1.0
3.878 0.000 0.000
0.000 3.878 0.000
0.000 0.000 4.150
P Ir C S
2 1 1 1
Direct
0.000 0.500 0.000
0.500 0.000 0.000
0.000 0.000 0.500
0.500 0.500 0.000
0.500 0.500 0.500
```

***

[8]
This record from the Alexandria database describes an optimized crystal structure of Mg3Ga3Co2. The functional is PBE-GGA.

- space group = Cmcm (63)
- E_tot (eV/atom) = -3.668
- formation energy from the elements (eV per atom) = -0.159

The structure in POSCAR format:
```
Mg3Ga3Co2
1.0
2.054 -4.844 0.000
2.054 4.844 0.000
0.000 0.000 13.425
Mg Ga Co
6 6 4
Direct
0.074 0.926 0.608
0.074 0.926 0.892
0.363 0.637 0.750
0.637 0.363 0.250
0.926 0.074 0.108
0.926 0.074 0.392
0.334 0.666 0.250
0.373 0.627 0.542
0.373 0.627 0.958
0.627 0.373 0.042
0.627 0.373 0.458
0.666 0.334 0.750
0.217 0.783 0.098
0.217 0.783 0.402
0.783 0.217 0.598
0.783 0.217 0.902
```